Record 1
First-principles (PBE) data for an optimized crystal structure of La3AgSnS7, as listed in Alexandria.

Computed properties:
**Energy relative to the elements, uncorrected**: -145 kJ/mol of atoms

a = 10.471 Å, b = 10.471 Å, c = 6.080 Å
α = 90.00°, β = 90.00°, γ = 120.00°
Sites, in units of the cell vectors:
1 Ag 0.000 0.000 0.505
2 S 0.667 0.333 0.767
3 S 0.422 0.515 0.829
4 S 0.906 0.422 0.329
5 S 0.898 0.732 0.052
6 Sn 0.667 0.333 0.158
7 S 0.268 0.166 0.052
8 S 0.333 0.667 0.267
9 S 0.834 0.102 0.052
10 La 0.773 0.131 0.582
11 La 0.227 0.869 0.082
12 La 0.131 0.359 0.082
13 S 0.094 0.578 0.829
14 S 0.515 0.094 0.329
15 Sn 0.333 0.667 0.658
16 La 0.359 0.227 0.582
17 S 0.732 0.834 0.552
18 S 0.578 0.485 0.329
19 Ag 0.000 0.000 0.005
20 La 0.869 0.641 0.582
21 S 0.102 0.268 0.552
22 La 0.641 0.773 0.082
23 S 0.166 0.898 0.552
24 S 0.485 0.906 0.829

---

Record 2
First-principles (PBE) data for an optimized crystal structure of Li4Hg2Bi3, as listed in Alexandria.

Computed properties:
**ΔH_f (0 K)**: -269 meV per atom

a = 5.452 Å, b = 9.153 Å, c = 9.153 Å
α = 75.48°, β = 77.87°, γ = 77.87°
Sites, in units of the cell vectors:
1 Bi 0.411 0.280 0.021
2 Li 0.032 0.821 0.057
3 Hg 0.162 0.607 0.842
4 Li 0.206 0.732 0.508
5 Li 0.532 0.057 0.821
6 Li 0.968 0.179 0.943
7 Hg 0.338 0.158 0.393
8 Hg 0.662 0.842 0.607
9 Li 0.706 0.508 0.732
10 Bi 0.589 0.720 0.979
11 Bi 0.750 0.652 0.348
12 Bi 0.250 0.348 0.652
13 Li 0.794 0.268 0.492
14 Li 0.468 0.943 0.179
15 Bi 0.089 0.979 0.720
16 Li 0.294 0.492 0.268
17 Bi 0.911 0.021 0.280
18 Hg 0.838 0.393 0.158

---

Record 3
First-principles (PBE) data for an optimized crystal structure of Ho3B7Ir, as listed in Alexandria.

Computed properties:
**ΔH_f (0 K)**: -629 meV per atom

a = 3.483 Å, b = 8.038 Å, c = 9.348 Å
α = 90.00°, β = 90.00°, γ = 102.51°
Sites, in units of the cell vectors:
1 B 0.520 0.040 0.596
2 B 0.633 0.266 0.652
3 Ho 0.753 0.506 0.250
4 Ho 0.893 0.786 0.560
5 Ir 0.053 0.106 0.750
6 B 0.367 0.734 0.152
7 B 0.273 0.546 0.033
8 B 0.727 0.454 0.533
9 Ho 0.247 0.494 0.750
10 Ir 0.947 0.894 0.250
11 B 0.273 0.546 0.467
12 B 0.367 0.734 0.348
13 B 0.633 0.266 0.848
14 B 0.727 0.454 0.967
15 B 0.480 0.960 0.096
16 B 0.545 0.090 0.250
17 Ho 0.107 0.214 0.060
18 Ho 0.107 0.214 0.440
19 Ho 0.893 0.786 0.940
20 B 0.520 0.040 0.904
21 B 0.455 0.910 0.750
22 B 0.480 0.960 0.404

---

Record 4
First-principles (PBE) data for an optimized crystal structure of Nd2HgTe, as listed in Alexandria.

Computed properties:
**Energy relative to the elements, uncorrected**: -87 kJ/mol of atoms

a = 4.324 Å, b = 6.334 Å, c = 9.308 Å
α = 90.00°, β = 90.00°, γ = 90.00°
Sites, in units of the cell vectors:
1 Te 0.000 0.500 0.874
2 Nd 0.500 0.500 0.628
3 Nd 0.500 0.500 0.120
4 Te 0.500 0.000 0.126
5 Nd 0.000 0.000 0.372
6 Hg 0.000 0.500 0.377
7 Hg 0.500 0.000 0.623
8 Nd 0.000 0.000 0.880

---

Record 5
First-principles (PBE) data for an optimized crystal structure of CaZr2Sc2, as listed in Alexandria.

Computed properties:
**ΔH_f (0 K)**: 147 meV per atom

a = 8.872 Å, b = 8.872 Å, c = 3.296 Å
α = 90.00°, β = 90.00°, γ = 90.00°
Sites, in units of the cell vectors:
1 Sc 0.877 0.623 0.000
2 Ca 0.500 0.500 0.000
3 Sc 0.377 0.877 0.000
4 Zr 0.330 0.170 0.500
5 Zr 0.830 0.330 0.500
6 Ca 0.000 0.000 0.000
7 Zr 0.170 0.670 0.500
8 Zr 0.670 0.830 0.500
9 Sc 0.623 0.123 0.000
10 Sc 0.123 0.377 0.000

---

Record 6
First-principles (PBE) data for an optimized crystal structure of CeZnAg2, as listed in Alexandria.

Computed properties:
**ΔH_f (0 K)**: -120 meV per atom

a = 4.564 Å, b = 9.536 Å, c = 9.748 Å
α = 119.28°, β = 103.54°, γ = 90.00°
Site moments in Bohr magnetons follow the coordinates.
Sites, in units of the cell vectors:
1 Ag 0.317 0.962 0.635  0.01
2 Ag 0.683 0.038 0.365  0.01
3 Zn 0.155 0.891 0.311  0.01
4 Ce 0.500 0.761 0.000  1.00
5 Zn 0.155 0.420 0.311  0.01
6 Zn 0.845 0.580 0.689  0.01
7 Ce 0.709 0.709 0.417  0.80
8 Zn 0.845 0.109 0.689  0.01
9 Ag 0.921 0.421 0.841  0.01
10 Ag 0.317 0.673 0.635  0.01
11 Ce 0.500 0.239 0.000  1.00
12 Ag 0.087 0.087 0.174  0.00
13 Ce 0.291 0.291 0.583  0.80
14 Ag 0.079 0.579 0.159  0.01
15 Ag 0.913 0.913 0.826  0.00
16 Ag 0.683 0.327 0.365  0.01

---

Record 7
First-principles (PBE) data for an optimized crystal structure of Sm2Er3Pd3, as listed in Alexandria.

Computed properties:
**ΔH_f (0 K)**: -623 meV per atom

a = 3.536 Å, b = 5.143 Å, c = 11.038 Å
α = 103.47°, β = 99.22°, γ = 90.00°
Sites, in units of the cell vectors:
1 Pd 0.111 0.111 0.221
2 Pd 0.889 0.889 0.779
3 Er 0.387 0.387 0.773
4 Er 0.613 0.613 0.227
5 Er 0.500 0.000 0.000
6 Pd 0.000 0.500 0.000
7 Sm 0.726 0.226 0.452
8 Sm 0.274 0.774 0.548

---

Record 8
First-principles (PBE) data for an optimized crystal structure of NaAg2Cl3, as listed in Alexandria.

Computed properties:
**Energy relative to the elements, uncorrected**: -85 kJ/mol of atoms

a = 7.483 Å, b = 7.483 Å, c = 7.497 Å
α = 99.59°, β = 99.59°, γ = 120.19°
Sites, in units of the cell vectors:
1 Na 0.104 0.926 0.510
2 Na 0.926 0.104 0.010
3 Cl 0.545 0.715 0.878
4 Cl 0.881 0.399 0.878
5 Ag 0.764 0.263 0.508
6 Ag 0.263 0.764 0.008
7 Cl 0.055 0.223 0.390
8 Cl 0.223 0.055 0.890
9 Cl 0.399 0.881 0.378
10 Ag 0.590 0.431 0.008
11 Cl 0.715 0.545 0.378
12 Ag 0.431 0.590 0.508

---

Record 9
First-principles (PBE) data for an optimized crystal structure of NaSr2Tl2Pb2, as listed in Alexandria.

Computed properties:
**ΔH_f (0 K)**: -195 meV per atom

a = 5.695 Å, b = 5.695 Å, c = 8.977 Å
α = 71.51°, β = 71.51°, γ = 60.00°
Sites, in units of the cell vectors:
1 Tl 0.288 0.288 0.137
2 Sr 0.863 0.863 0.411
3 Na 0.000 0.000 0.000
4 Pb 0.430 0.430 0.711
5 Pb 0.570 0.570 0.289
6 Tl 0.712 0.712 0.863
7 Sr 0.137 0.137 0.589

---

Record 10
First-principles (PBE) data for an optimized crystal structure of Dy2PaTc, as listed in Alexandria.

Computed properties:
**ΔH_f (0 K)**: 356 meV per atom

a = 3.256 Å, b = 3.256 Å, c = 10.909 Å
α = 81.42°, β = 81.42°, γ = 60.00°
Sites, in units of the cell vectors:
1 Pa 0.000 0.000 0.000
2 Dy 0.101 0.101 0.696
3 Dy 0.899 0.899 0.304
4 Tc 0.500 0.500 0.500

---

Record 11
First-principles (PBE) data for an optimized crystal structure of LiHoCd, as listed in Alexandria.

Computed properties:
**ΔH_f (0 K)**: -56 meV per atom

a = 3.422 Å, b = 3.422 Å, c = 12.508 Å
α = 97.86°, β = 97.86°, γ = 90.00°
Sites, in units of the cell vectors:
1 Li 0.718 0.718 0.436
2 Cd 0.845 0.845 0.691
3 Cd 0.155 0.155 0.309
4 Ho 0.571 0.571 0.141
5 Ho 0.429 0.429 0.859
6 Li 0.282 0.282 0.564

---

Record 12
First-principles (PBE) data for an optimized crystal structure of BaGaGeAu2, as listed in Alexandria.

Computed properties:
**ΔH_f (0 K)**: -518 meV per atom

a = 4.631 Å, b = 4.631 Å, c = 6.470 Å
α = 110.97°, β = 110.97°, γ = 90.00°
Sites, in units of the cell vectors:
1 Ge 0.250 0.750 0.500
2 Au 0.370 0.370 0.739
3 Au 0.630 0.630 0.261
4 Ba 0.000 0.000 0.000
5 Ga 0.750 0.250 0.500

---

no.,total energy (eV per atom)
1,-5.718
2,-2.480
3,-6.933
4,-4.147
5,-6.205
6,-3.348
7,-5.461
8,-2.973
9,-2.600
10,-6.910
11,-2.525
12,-3.743